1.
# PBEsol ZrZnCd2, relaxed
# **Electronic total energy**: -13.67 eV for the cell shown
# **Total magnetization**: 0.00 μB/cell
# **Fermi-level density of states**: 2.8 states/eV per cell
data_ZrZnCd2
_chemical_formula_sum 'Zr1 Zn1 Cd2'
_cell_length_a 4.148
_cell_length_b 4.148
_cell_length_c 4.411
_cell_angle_alpha 90.00
_cell_angle_beta 90.00
_cell_angle_gamma 90.00
_symmetry_space_group_name_H-M 'P 4/m m m'
_symmetry_Int_Tables_number 123
_symmetry_space_group_name_Hall '-P 4 2'
loop_
_atom_site_label
_atom_site_fract_x
_atom_site_fract_y
_atom_site_fract_z
Zr1 0.000 0.000 0.000
Zn1 0.500 0.500 0.000
Cd1 0.000 0.500 0.500

---

2.
# PBEsol ZrZnCd2, relaxed
# **Electronic total energy**: -25.98 eV for the cell shown
# **Total magnetization**: 0.00 μB/cell
# **Fermi-level density of states**: 4.1 states/eV per cell
data_ZrZnCd2
_chemical_formula_sum 'Zr2 Zn2 Cd4'
_cell_length_a 2.870
_cell_length_b 5.346
_cell_length_c 10.188
_cell_angle_alpha 90.00
_cell_angle_beta 90.00
_cell_angle_gamma 90.00
_symmetry_space_group_name_H-M 'I m m 2'
_symmetry_Int_Tables_number 44
loop_
_symmetry_equiv_pos_as_xyz
'x,y,z'
'-x,-y,z'
'-x,y,z'
'x,-y,z'
'x+1/2,y+1/2,z+1/2'
'-x+1/2,-y+1/2,z+1/2'
'-x+1/2,y+1/2,z+1/2'
'x+1/2,-y+1/2,z+1/2'
loop_
_atom_site_label
_atom_site_fract_x
_atom_site_fract_y
_atom_site_fract_z
Zr1 0.000 0.000 0.000
Zn1 0.000 0.500 0.256
Cd1 0.000 0.000 0.522
Cd2 0.000 0.500 0.766

---

3.
# PBEsol ZrZnCd2, relaxed
# **Electronic total energy**: -13.68 eV for the cell shown
# **Total magnetization**: 0.00 μB/cell
# **Fermi-level density of states**: 1.7 states/eV per cell
data_ZrZnCd2
_chemical_formula_sum 'Zr1 Zn1 Cd2'
_cell_length_a 3.075
_cell_length_b 3.075
_cell_length_c 7.952
_cell_angle_alpha 90.00
_cell_angle_beta 90.00
_cell_angle_gamma 90.00
_symmetry_space_group_name_H-M 'P 4 m m'
_symmetry_Int_Tables_number 99
loop_
_symmetry_equiv_pos_as_xyz
'x,y,z'
'-y,x,z'
'-x,-y,z'
'y,-x,z'
'-x,y,z'
'y,x,z'
'x,-y,z'
'-y,-x,z'
loop_
_atom_site_label
_atom_site_fract_x
_atom_site_fract_y
_atom_site_fract_z
Zr1 0.000 0.000 0.000
Zn1 0.500 0.500 0.230
Cd1 0.000 0.000 0.454
Cd2 0.500 0.500 0.721

---

4.
# PBEsol ZrZnCd2, relaxed
# **Electronic total energy**: -27.16 eV for the cell shown
# **Total magnetization**: 0.00 μB/cell
# **Fermi-level density of states**: 3.0 states/eV per cell
data_ZrZnCd2
_chemical_formula_sum 'Zr2 Zn2 Cd4'
_cell_length_a 4.373
_cell_length_b 2.949
_cell_length_c 11.764
_cell_angle_alpha 90.00
_cell_angle_beta 90.00
_cell_angle_gamma 90.00
_symmetry_space_group_name_H-M 'A m m 2'
_symmetry_Int_Tables_number 38
loop_
_symmetry_equiv_pos_as_xyz
'x,y,z'
'-x,-y,z'
'-x,y,z'
'x,-y,z'
'x,y+1/2,z+1/2'
'-x,-y+1/2,z+1/2'
'-x,y+1/2,z+1/2'
'x,-y+1/2,z+1/2'
loop_
_atom_site_label
_atom_site_fract_x
_atom_site_fract_y
_atom_site_fract_z
Zr1 0.000 0.000 0.000
Zn1 0.500 0.000 0.600
Cd1 0.000 0.000 0.736
Cd2 0.500 0.000 0.355

---

5.
# PBEsol Zr2Cd, relaxed
# **Electronic total energy**: -156.87 eV for the cell shown
# **Total magnetization**: 0.00 μB/cell
# **Fermi-level density of states**: 26.7 states/eV per cell
data_Zr2Cd
_chemical_formula_sum 'Zr16 Cd8'
_cell_length_a 4.351
_cell_length_b 4.351
_cell_length_c 26.634
_cell_angle_alpha 90.00
_cell_angle_beta 90.00
_cell_angle_gamma 90.00
_symmetry_space_group_name_H-M 'I 41/a m d'
_symmetry_Int_Tables_number 141
loop_
_symmetry_equiv_pos_as_xyz
'x,y,z'
'-x,-y,-z'
'-y+1/4,x+3/4,z+1/4'
'y+1/4,-x+3/4,-z+1/4'
'-x+1/2,-y,z+1/2'
'x+1/2,y,-z+1/2'
'y+1/4,-x+1/4,z+3/4'
'-y+1/4,x+1/4,-z+3/4'
'x,-y,-z'
'-x,y,z'
'-y+1/4,-x+1/4,-z+3/4'
'y+1/4,x+1/4,z+3/4'
'-x+1/2,y,-z+1/2'
'x+1/2,-y,z+1/2'
'y+1/4,x+3/4,-z+1/4'
'-y+1/4,-x+3/4,z+1/4'
'x+1/2,y+1/2,z+1/2'
'-x+1/2,-y+1/2,-z+1/2'
'-y+3/4,x+1/4,z+3/4'
'y+3/4,-x+1/4,-z+3/4'
'-x,-y+1/2,z'
'x,y+1/2,-z'
'y+3/4,-x+3/4,z+1/4'
'-y+3/4,x+3/4,-z+1/4'
'x+1/2,-y+1/2,-z+1/2'
'-x+1/2,y+1/2,z+1/2'
'-y+3/4,-x+3/4,-z+1/4'
'y+3/4,x+3/4,z+1/4'
'-x,y+1/2,-z'
'x,-y+1/2,z'
'y+3/4,x+1/4,-z+3/4'
'-y+3/4,-x+1/4,z+3/4'
loop_
_atom_site_label
_atom_site_fract_x
_atom_site_fract_y
_atom_site_fract_z
Zr1 0.000 0.250 0.121
Zr2 0.000 0.250 0.792
Cd1 0.000 0.250 0.290

---

6.
# PBEsol ZrCd, relaxed
# **Electronic total energy**: -21.14 eV for the cell shown
# **Total magnetization**: 0.00 μB/cell
# **Fermi-level density of states**: 2.9 states/eV per cell
data_ZrCd
_chemical_formula_sum 'Zr2 Cd2'
_cell_length_a 3.093
_cell_length_b 3.093
_cell_length_c 8.750
_cell_angle_alpha 90.00
_cell_angle_beta 90.00
_cell_angle_gamma 90.00
_symmetry_space_group_name_H-M 'P 4/n m m'
_symmetry_Int_Tables_number 129
loop_
_symmetry_equiv_pos_as_xyz
'x,y,z'
'-x,-y,-z'
'-y+1/2,x,z'
'y+1/2,-x,-z'
'-x+1/2,-y+1/2,z'
'x+1/2,y+1/2,-z'
'y,-x+1/2,z'
'-y,x+1/2,-z'
'x+1/2,-y,-z'
'-x+1/2,y,z'
'-y,-x,-z'
'y,x,z'
'-x,y+1/2,-z'
'x,-y+1/2,z'
'y+1/2,x+1/2,-z'
'-y+1/2,-x+1/2,z'
loop_
_atom_site_label
_atom_site_fract_x
_atom_site_fract_y
_atom_site_fract_z
Zr1 0.250 0.250 0.129
Cd1 0.250 0.250 0.617

---

7.
# PBEsol ZrCd7, relaxed
# **Electronic total energy**: -70.72 eV for the cell shown
# **Total magnetization**: 0.02 μB/cell
# **Fermi-level density of states**: 27.6 states/eV per cell
data_ZrCd7
_chemical_formula_sum 'Zr4 Cd28'
_cell_length_a 8.730
_cell_length_b 8.730
_cell_length_c 8.730
_cell_angle_alpha 90.00
_cell_angle_beta 90.00
_cell_angle_gamma 90.00
_symmetry_space_group_name_H-M 'F m -3 m'
_symmetry_Int_Tables_number 225
_symmetry_space_group_name_Hall '-F 4 2 3'
loop_
_atom_site_label
_atom_site_fract_x
_atom_site_fract_y
_atom_site_fract_z
Zr1 0.000 0.000 0.000
Cd1 0.000 0.000 0.500
Cd2 0.000 0.250 0.250

---

8.
# PBEsol Zr2Cd, relaxed
# **Electronic total energy**: -39.59 eV for the cell shown
# **Total magnetization**: 0.00 μB/cell
# **Fermi-level density of states**: 5.4 states/eV per cell
data_Zr2Cd
_chemical_formula_sum 'Zr4 Cd2'
_cell_length_a 3.028
_cell_length_b 3.028
_cell_length_c 13.862
_cell_angle_alpha 90.00
_cell_angle_beta 90.00
_cell_angle_gamma 90.00
_symmetry_space_group_name_H-M 'I 4/m m m'
_symmetry_Int_Tables_number 139
_symmetry_space_group_name_Hall '-I 4 2'
loop_
_atom_site_label
_atom_site_fract_x
_atom_site_fract_y
_atom_site_fract_z
Zr1 0.000 0.000 0.168
Cd1 0.000 0.000 0.500

---

Q: What is the formula in the sixth record?
A: ZrCd

---

Q: The highest electronic total energy belongs to which entry?
A: number 1

---

Q: Which formula does entry 8 have?
A: Zr2Cd

---

Please write out number 4 again, unchanged.
# PBEsol ZrZnCd2, relaxed
# **Electronic total energy**: -27.16 eV for the cell shown
# **Total magnetization**: 0.00 μB/cell
# **Fermi-level density of states**: 3.0 states/eV per cell
data_ZrZnCd2
_chemical_formula_sum 'Zr2 Zn2 Cd4'
_cell_length_a 4.373
_cell_length_b 2.949
_cell_length_c 11.764
_cell_angle_alpha 90.00
_cell_angle_beta 90.00
_cell_angle_gamma 90.00
_symmetry_space_group_name_H-M 'A m m 2'
_symmetry_Int_Tables_number 38
loop_
_symmetry_equiv_pos_as_xyz
'x,y,z'
'-x,-y,z'
'-x,y,z'
'x,-y,z'
'x,y+1/2,z+1/2'
'-x,-y+1/2,z+1/2'
'-x,y+1/2,z+1/2'
'x,-y+1/2,z+1/2'
loop_
_atom_site_label
_atom_site_fract_x
_atom_site_fract_y
_atom_site_fract_z
Zr1 0.000 0.000 0.000
Zn1 0.500 0.000 0.600
Cd1 0.000 0.000 0.736
Cd2 0.500 0.000 0.355